No. 1
GGA-PBE BaMg3H, relaxed; ρ = 2.640 Mg/m³; total DFT energy (no corrections) = -1.741 eV/atom
1.0
5.1030 0.0000 0.0000
0.0000 5.1030 0.0000
0.0000 0.0000 5.1030
Mg H Ba
3 1 1
direct
0.5000 0.0000 0.0000 Mg
0.0000 0.0000 0.5000 Mg
0.0000 0.5000 0.0000 Mg
0.0000 0.0000 0.0000 H
0.5000 0.5000 0.5000 Ba

No. 2
GGA-PBE Ba3MgH8, relaxed; ρ = 4.073 Mg/m³; total DFT energy (no corrections) = -3.270 eV/atom
1.0
-1.4898 -1.2471 -5.8792
7.9672 -0.8339 -1.8420
-4.3481 -6.5182 2.4845
Ba H Mg
6 16 2
direct
0.2152 0.3448 0.1724 Ba
0.7152 0.1724 0.3448 Ba
0.7152 0.1724 0.8276 Ba
0.2152 0.8276 0.1724 Ba
0.2152 0.8276 0.6552 Ba
0.7152 0.6552 0.8276 Ba
0.0020 0.1003 0.5501 H
0.2962 0.1873 0.3747 H
0.5020 0.8997 0.4499 H
0.5383 0.3333 0.6667 H
0.0020 0.4499 0.8997 H
0.0020 0.4499 0.5501 H
0.9845 0.0000 0.0000 H
0.5020 0.5501 0.1003 H
0.2962 0.6253 0.8127 H
0.5020 0.5501 0.4499 H
0.7962 0.8127 0.6253 H
0.0383 0.6667 0.3333 H
0.2962 0.1873 0.8127 H
0.7962 0.8127 0.1873 H
0.4845 0.0000 0.0000 H
0.7962 0.3747 0.1873 H
0.2100 0.3333 0.6667 Mg
0.7100 0.6667 0.3333 Mg

No. 3
GGA-PBE BaMgH, relaxed; ρ = 3.196 Mg/m³; total DFT energy (no corrections) = -2.475 eV/atom
1.0
5.1334 0.0000 0.0000
-2.5667 4.4035 0.5314
0.0000 2.0430 7.7226
Mg Ba H
2 2 2
direct
0.3217 0.6434 0.0338 Mg
0.6783 0.3566 0.9662 Mg
0.1003 0.2005 0.6996 Ba
0.8997 0.7995 0.3004 Ba
0.7703 0.5406 0.6889 H
0.2297 0.4594 0.3111 H

No. 4
GGA-PBE BaMg2H6, relaxed; relative energy among the computed polymorphs = 43 meV per atom; ρ = 2.414 Mg/m³
1.0
4.1213 0.0000 0.0000
2.0606 4.8040 -0.2041
2.0606 1.8073 6.5923
H Ba Mg
6 1 2
direct
0.6790 0.2840 0.3579 H
0.7102 0.6605 0.9190 H
0.9911 0.8507 0.1671 H
0.3210 0.7160 0.6421 H
0.0089 0.1493 0.8329 H
0.2898 0.3395 0.0810 H
0.0000 0.5000 0.5000 Ba
0.8286 0.2569 0.0859 Mg
0.1714 0.7431 0.9141 Mg

No. 5
GGA-PBE Ba2Mg3H10, relaxed; ρ = 3.130 Mg/m³; total DFT energy (no corrections) = -3.188 eV/atom
1.0
9.4104 -0.0028 -0.0233
7.6061 5.5410 -0.0233
2.7959 0.9099 7.2671
H Mg Ba
20 6 4
direct
0.0229 0.0229 0.8235 H
0.0862 0.6121 0.4852 H
0.8477 0.3720 0.9826 H
0.5000 0.0000 0.0000 H
0.6280 0.1523 0.0174 H
0.7796 0.2204 0.5000 H
0.2204 0.7796 0.5000 H
0.3879 0.9138 0.5148 H
0.2326 0.2326 0.7255 H
0.1344 0.1344 0.2559 H
0.6121 0.0862 0.4852 H
0.5234 0.5234 0.8172 H
0.0000 0.5000 0.0000 H
0.3720 0.8477 0.9826 H
0.8656 0.8656 0.7441 H
0.1523 0.6280 0.0174 H
0.9771 0.9771 0.1765 H
0.7674 0.7674 0.2745 H
0.9138 0.3879 0.5148 H
0.4766 0.4766 0.1828 H
0.0732 0.0732 0.5560 Mg
0.1731 0.1731 0.9878 Mg
0.7450 0.2550 0.0000 Mg
0.9268 0.9268 0.4440 Mg
0.2550 0.7450 0.0000 Mg
0.8269 0.8269 0.0122 Mg
0.7150 0.7150 0.6946 Ba
0.6149 0.6149 0.2766 Ba
0.2850 0.2850 0.3054 Ba
0.3851 0.3851 0.7234 Ba

No. 6
GGA-PBE Ba2MgH6, relaxed; ρ = 3.982 Mg/m³; total DFT energy (no corrections) = -3.297 eV/atom
1.0
-2.2535 3.4735 3.9113
1.6689 -5.2434 1.4709
4.1277 1.5859 0.9698
H Ba Mg
6 2 1
direct
0.1717 0.3434 0.2258 H
0.8283 0.1717 0.7742 H
0.8283 0.6566 0.7742 H
0.1717 0.8283 0.2258 H
0.3434 0.1717 0.7742 H
0.6566 0.8283 0.2258 H
0.6667 0.3333 0.2657 Ba
0.3333 0.6667 0.7343 Ba
0.0000 0.0000 0.0000 Mg

No. 7
GGA-PBE Ba2MgH2, relaxed; ρ = 3.329 Mg/m³; total DFT energy (no corrections) = -2.708 eV/atom
1.0
-1.8273 -1.0905 3.8640
-0.8156 -4.0560 -1.5304
5.5545 -4.9316 3.7530
Ba H Mg
2 2 1
direct
0.3437 0.3437 0.3127 Ba
0.6563 0.6563 0.6873 Ba
0.2500 0.7500 0.5000 H
0.7500 0.2500 0.5000 H
0.0000 0.0000 0.0000 Mg

No. 8
GGA-PBE Ba3Mg2H9, relaxed; ρ = 3.787 Mg/m³; total DFT energy (no corrections) = -3.165 eV/atom
1.0
5.7784 0.0000 0.0000
-2.8892 5.0042 0.0000
0.0000 0.0000 7.1216
H Ba Mg
9 3 2
direct
0.5000 0.5000 0.0000 H
0.3510 0.1755 0.3137 H
0.1755 0.3510 0.6863 H
0.1755 0.8245 0.6863 H
0.6490 0.8245 0.6863 H
0.0000 0.5000 0.0000 H
0.8245 0.1755 0.3137 H
0.5000 0.0000 0.0000 H
0.8245 0.6490 0.3137 H
0.0000 0.0000 0.0000 Ba
0.3333 0.6667 0.3482 Ba
0.6667 0.3333 0.6518 Ba
0.6667 0.3333 0.1626 Mg
0.3333 0.6667 0.8374 Mg

No. 9
GGA-PBE Ba6Mg7H26, relaxed; ρ = 3.309 Mg/m³; total DFT energy (no corrections) = -3.216 eV/atom
1.0
9.9627 0.0117 -0.0040
1.1876 9.8917 0.0040
-2.8625 -8.0058 5.1931
H Mg Ba
26 7 6
direct
0.8375 0.2677 0.1052 H
0.8668 0.5220 0.8806 H
0.1625 0.2677 0.4302 H
0.8531 0.1276 0.7256 H
0.9132 0.9132 0.0000 H
0.5980 0.8724 0.7256 H
0.3851 0.7509 0.1360 H
0.6149 0.7509 0.3659 H
0.1332 0.0138 0.6552 H
0.3585 0.4780 0.3448 H
0.3705 0.3705 0.0000 H
0.1469 0.8724 0.2744 H
0.3585 0.0138 0.8806 H
0.6295 0.6295 0.0000 H
0.8668 0.9862 0.3448 H
0.6149 0.2491 0.8640 H
0.4020 0.1276 0.2744 H
0.1332 0.4780 0.1194 H
0.0904 0.5904 0.5000 H
0.1625 0.7323 0.8948 H
0.0868 0.0868 0.0000 H
0.3851 0.2491 0.6341 H
0.6415 0.9862 0.1194 H
0.8375 0.7323 0.5698 H
0.6415 0.5220 0.6552 H
0.9096 0.4096 0.5000 H
0.2576 0.0000 0.2576 Mg
0.7424 0.0000 0.7424 Mg
0.2185 0.2185 0.0000 Mg
0.0000 0.2552 0.2552 Mg
0.7815 0.7815 0.0000 Mg
0.0000 0.7448 0.7448 Mg
0.5000 0.5000 0.0000 Mg
0.3881 0.6474 0.7407 Ba
0.0933 0.3526 0.7407 Ba
0.6119 0.3526 0.2593 Ba
0.6435 0.1435 0.5000 Ba
0.9067 0.6474 0.2593 Ba
0.3565 0.8565 0.5000 Ba

No. 10
GGA-PBE BaMgH2, relaxed; relative energy among the computed polymorphs = 6 meV per atom; ρ = 3.526 Mg/m³
1.0
-2.8720 -2.8725 -3.2131
0.7824 -4.1445 3.0057
-5.7478 -2.1976 2.9281
H Ba Mg
4 2 2
direct
0.8750 0.7560 0.7500 H
0.5060 0.1250 0.2500 H
0.2440 0.6250 0.2500 H
0.3750 0.4940 0.7500 H
0.7500 0.2500 0.5000 Ba
0.0000 0.0000 0.0000 Ba
0.5000 0.5000 0.0000 Mg
0.2500 0.7500 0.5000 Mg

No. 11
GGA-PBE BaMg2H6, relaxed; relative energy among the computed polymorphs = 1086 meV per atom; ρ = 2.763 Mg/m³
1.0
0.8655 -5.0921 1.7829
5.0714 -2.0313 0.1099
2.5073 -0.8308 4.7833
H Mg Ba
6 2 1
direct
0.6887 0.3113 0.6887 H
0.3113 0.3113 0.6887 H
0.3113 0.6887 0.6887 H
0.6887 0.3113 0.3113 H
0.3113 0.6887 0.3113 H
0.6887 0.6887 0.3113 H
0.2500 0.2500 0.2500 Mg
0.7500 0.7500 0.7500 Mg
0.0000 0.0000 0.0000 Ba

No. 12
GGA-PBE Ba12Mg3H5, relaxed; ρ = 3.550 Mg/m³; total DFT energy (no corrections) = -2.376 eV/atom
1.0
16.1283 0.0000 0.0000
-5.3761 15.2059 0.0000
-5.3761 -7.6030 13.1687
Ba Mg H
48 12 20
direct
0.9845 0.5983 0.1908 Ba
0.8092 0.9075 0.2937 Ba
0.3863 0.4017 0.0925 Ba
0.1137 0.7063 0.5155 Ba
0.8863 0.5925 0.9017 Ba
0.0925 0.1908 0.2063 Ba
0.4017 0.3863 0.5925 Ba
0.5983 0.6137 0.4075 Ba
0.8863 0.2937 0.4845 Ba
0.7937 0.4845 0.3863 Ba
0.5925 0.7063 0.6908 Ba
0.0925 0.9017 0.3863 Ba
0.3092 0.5155 0.4017 Ba
0.9075 0.8092 0.7937 Ba
0.2063 0.5155 0.6137 Ba
0.8092 0.9017 0.0155 Ba
0.5155 0.2063 0.1137 Ba
0.0983 0.9075 0.1137 Ba
0.3863 0.9845 0.7937 Ba
0.2937 0.8863 0.9845 Ba
0.0155 0.6137 0.7063 Ba
0.9017 0.0925 0.8863 Ba
0.9845 0.3863 0.2937 Ba
0.6137 0.5983 0.9075 Ba
0.2937 0.4075 0.8092 Ba
0.7937 0.3092 0.9075 Ba
0.0983 0.1908 0.4845 Ba
0.9075 0.0983 0.6137 Ba
0.6908 0.2063 0.5925 Ba
0.1908 0.0983 0.9845 Ba
0.4017 0.0155 0.3092 Ba
0.5925 0.8863 0.4017 Ba
0.4845 0.6908 0.0983 Ba
0.7063 0.5925 0.1908 Ba
0.6137 0.0155 0.2063 Ba
0.9017 0.8092 0.5155 Ba
0.1908 0.0925 0.7063 Ba
0.3092 0.7937 0.4075 Ba
0.4075 0.1137 0.5983 Ba
0.5155 0.3092 0.9017 Ba
0.4845 0.7937 0.8863 Ba
0.0155 0.4017 0.8092 Ba
0.2063 0.6908 0.0925 Ba
0.6908 0.4845 0.5983 Ba
0.5983 0.9845 0.6908 Ba
0.1137 0.4075 0.0983 Ba
0.7063 0.1137 0.0155 Ba
0.4075 0.2937 0.3092 Ba
0.7500 0.8750 0.6250 Mg
0.3750 0.7500 0.6250 Mg
0.2500 0.6250 0.8750 Mg
0.1250 0.2500 0.8750 Mg
0.2500 0.1250 0.3750 Mg
0.8750 0.1250 0.2500 Mg
0.1250 0.8750 0.7500 Mg
0.6250 0.3750 0.7500 Mg
0.7500 0.3750 0.1250 Mg
0.3750 0.6250 0.2500 Mg
0.6250 0.2500 0.3750 Mg
0.8750 0.7500 0.1250 Mg
0.2500 0.3750 0.6250 H
0.3750 0.2500 0.1250 H
0.0000 0.0000 0.5000 H
0.5000 0.5000 0.5000 H
0.0000 0.5000 0.5000 H
0.7500 0.1250 0.8750 H
0.7500 0.6250 0.3750 H
0.8750 0.2500 0.6250 H
0.1250 0.3750 0.2500 H
0.6250 0.8750 0.2500 H
0.1250 0.7500 0.3750 H
0.3750 0.1250 0.7500 H
0.5000 0.5000 0.0000 H
0.5000 0.0000 0.0000 H
0.8750 0.6250 0.7500 H
0.5000 0.0000 0.5000 H
0.6250 0.7500 0.8750 H
0.0000 0.0000 0.0000 H
0.2500 0.8750 0.1250 H
0.0000 0.5000 0.0000 H

Number 1: spin magnetization 0.00 μB/cell. Number 2: spin magnetization 0.00 μB/cell. Number 3: spin magnetization 0.65 μB/cell. Number 4: spin magnetization 0.00 μB/cell. Number 5: spin magnetization 0.00 μB/cell. Number 6: spin magnetization 0.00 μB/cell. Number 7: spin magnetization 0.35 μB/cell. Number 8: spin magnetization 0.62 μB/cell. Number 9: spin magnetization 0.00 μB/cell. Number 10: spin magnetization 0.00 μB/cell. Number 11: spin magnetization 0.00 μB/cell. Number 12: spin magnetization 0.19 μB/cell.